Record 1
LuMgZnAg | PBE | optimized geometry Values from VASP.

The structure in Quantum ESPRESSO input format:
```
&SYSTEM
  ibrav = 0, nat = 4, ntyp = 4
/
ATOMIC_SPECIES
Zn 65.41 Zn.upf
Lu 174.97 Lu.upf
Mg 24.30 Mg.upf
Ag 107.87 Ag.upf
CELL_PARAMETERS angstrom
-2.9728 3.5979 1.2289
-3.5369 -0.7753 3.1909
0.2590 1.9448 4.4095
ATOMIC_POSITIONS angstrom
Zn 0.0000 0.0000 0.0000
Lu -4.6880 3.5756 6.6219
Mg -1.5627 1.1919 2.2073
Ag -3.1254 2.3837 4.4146
```

Values from the calculation:
DOS at the Fermi energy (states/eV per atom): 0.415
ΔH_f (0 K) (eV/atom): -0.30
Total DFT energy (no corrections) (eV per atom): -2.8608

---

Record 2
LuMgZrAg | PBE | optimized geometry Values from VASP.

The structure in Quantum ESPRESSO input format:
```
&SYSTEM
  ibrav = 0, nat = 4, ntyp = 4
/
ATOMIC_SPECIES
Mg 24.30 Mg.upf
Lu 174.97 Lu.upf
Zr 91.22 Zr.upf
Ag 107.87 Ag.upf
CELL_PARAMETERS angstrom
5.0314 0.0000 0.0000
2.5157 4.3573 0.0000
2.5157 1.4524 4.1081
ATOMIC_POSITIONS angstrom
Mg 2.5157 1.4524 1.0270
Lu 5.0314 2.9049 2.0541
Zr 0.0000 0.0000 0.0000
Ag 7.5471 4.3573 3.0811
```

Values from the calculation:
DOS at the Fermi energy (states/eV per atom): 0.969
ΔH_f (0 K) (eV/atom): 0.01
Total DFT energy (no corrections) (eV per atom): -4.3667

---

Record 3
Lu2MnAg | PBE | optimized geometry Values from VASP.

The structure in Quantum ESPRESSO input format:
```
&SYSTEM
  ibrav = 0, nat = 4, ntyp = 3
/
ATOMIC_SPECIES
Mn 54.94 Mn.upf
Lu 174.97 Lu.upf
Ag 107.87 Ag.upf
CELL_PARAMETERS angstrom
-1.3359 0.7959 -3.0507
-1.0408 -3.2389 -0.3893
-6.3420 1.6524 3.2082
ATOMIC_POSITIONS angstrom
Mn -1.1883 -1.2215 -1.7200
Lu -4.8522 1.2642 2.4546
Lu -1.4898 0.3882 0.7536
Ag -4.3593 -0.3953 -0.1159
```

Values from the calculation:
DOS at the Fermi energy (states/eV per atom): 0.929
ΔH_f (0 K) (eV/atom): -0.11
Relative energy among the computed polymorphs (meV/atom): 0
Total DFT energy (no corrections) (eV per atom): -5.3748

---

Record 4
Lu2MnAg | PBE | optimized geometry Values from VASP.

The structure in Quantum ESPRESSO input format:
```
&SYSTEM
  ibrav = 0, nat = 4, ntyp = 3
/
ATOMIC_SPECIES
Mn 54.94 Mn.upf
Lu 174.97 Lu.upf
Ag 107.87 Ag.upf
CELL_PARAMETERS angstrom
-3.8409 -0.6082 3.1195
0.7280 -2.0705 4.4762
-0.3310 2.7880 4.1196
ATOMIC_POSITIONS angstrom
Mn 0.0000 0.0000 0.0000
Lu -0.8610 0.0273 2.9288
Lu -2.5829 0.0819 8.7865
Ag -1.7219 0.0546 5.8577
```

Values from the calculation:
DOS at the Fermi energy (states/eV per atom): 0.955
ΔH_f (0 K) (eV/atom): -0.03
Relative energy among the computed polymorphs (meV/atom): 76
Total DFT energy (no corrections) (eV per atom): -5.2990

---

Q: Which of these has the highest DOS at the Fermi energy?
A: LuMgZrAg

---

Q: Among the records above, which one has the highest total DFT energy (no corrections)?
A: LuMgZnAg

---

Please write out number 4 again, unchanged.
Lu2MnAg | PBE | optimized geometry Values from VASP.

The structure in Quantum ESPRESSO input format:
```
&SYSTEM
  ibrav = 0, nat = 4, ntyp = 3
/
ATOMIC_SPECIES
Mn 54.94 Mn.upf
Lu 174.97 Lu.upf
Ag 107.87 Ag.upf
CELL_PARAMETERS angstrom
-3.8409 -0.6082 3.1195
0.7280 -2.0705 4.4762
-0.3310 2.7880 4.1196
ATOMIC_POSITIONS angstrom
Mn 0.0000 0.0000 0.0000
Lu -0.8610 0.0273 2.9288
Lu -2.5829 0.0819 8.7865
Ag -1.7219 0.0546 5.8577
```

Values from the calculation:
DOS at the Fermi energy (states/eV per atom): 0.955
ΔH_f (0 K) (eV/atom): -0.03
Relative energy among the computed polymorphs (meV/atom): 76
Total DFT energy (no corrections) (eV per atom): -5.2990